1.
Sc6CdPd5: optimized geometry, GGA-PBE.

Structure (POSCAR):
```
Sc6CdPd5
1.0
-2.366 3.353 7.090
2.366 -3.353 7.090
2.366 3.353 -7.090
Sc Cd Pd
6 1 5
Cartesian
2.366 1.635 -2.422
0.000 1.591 0.000
2.366 1.635 2.422
0.000 1.718 4.668
0.000 5.115 0.000
0.000 1.718 9.512
0.000 0.000 7.090
2.366 0.000 0.000
0.000 0.000 2.400
2.366 0.000 4.813
0.000 3.353 2.277
0.000 0.000 11.779
```

Summary:
Space group: Immm
Formation enthalpy at 0 K (eV/atom): -0.78

2.
ScCdPd: optimized geometry, GGA-PBE.

Structure (POSCAR):
```
ScCdPd
1.0
1.634 -7.581 0.000
1.634 7.581 0.000
0.000 0.000 4.713
Sc Cd Pd
2 2 2
Cartesian
1.634 6.329 3.535
1.634 -6.329 1.178
1.634 4.200 1.178
1.634 -4.200 3.535
1.634 0.958 3.535
1.634 -0.958 1.178
```

Summary:
Space group: Cmcm
Formation enthalpy at 0 K (eV/atom): -0.60

3.
ScCd2Pd8: optimized geometry, GGA-PBE.

Structure (POSCAR):
```
ScCd2Pd8
1.0
4.101 -5.393 0.000
4.101 5.393 0.000
0.000 0.000 4.353
Sc Cd Pd
1 2 8
Cartesian
0.000 0.000 0.000
4.101 1.370 2.176
4.101 -1.370 2.176
1.390 1.416 2.176
4.101 2.829 0.000
1.390 -1.416 2.176
2.693 0.000 0.000
5.509 0.000 0.000
6.813 1.416 2.176
4.101 -2.829 0.000
6.813 -1.416 2.176
```

Summary:
Space group: Cmmm
Formation enthalpy at 0 K (eV/atom): -0.26
Polymorph energy (0 for the lowest one) (meV per atom): 209

Number 1 is which compound?
Sc6CdPd5